Material: BaAc3In2
Method: DFT, GGA-PBE
State: optimized geometry

Output
crystal system	orthorhombic
relative energy among the computed polymorphs	0	meV per atom
energy of formation	-0.276	eV/atom
D(E_F)	1.062	states/eV per atom

a b c (Å): 5.3980 8.8027 10.2993
angles (deg): 90.00 90.00 90.00
Last column: nearest neighbours and their distance in Å.
Fractional coordinates of all 12 atoms:
Ba  0.5000  0.5278  0.5769  5 In 3.61-4.00
Ba  0.5000  0.0278  0.4231  5 In 3.61-4.00
Ac  0.0000  0.4720  0.9267  5 In 3.55-3.92
Ac  0.0000  0.9720  0.0733  5 In 3.55-3.92
Ac  0.5000  0.6396  0.1733  4 In 3.30-3.45
Ac  0.5000  0.1396  0.8267  4 In 3.30-3.45
Ac  0.0000  0.3585  0.3198  4 In 3.44-3.45
Ac  0.0000  0.8585  0.6802  4 In 3.44-3.45
In  0.5000  0.7545  0.8687  4 Ac 3.30-3.45, 1 Ba 3.61
In  0.5000  0.2545  0.1313  4 Ac 3.30-3.45, 1 Ba 3.61
In  0.0000  0.2476  0.6399  5 Ac 3.44-3.55, 2 Ba 3.71
In  0.0000  0.7476  0.3601  5 Ac 3.44-3.55, 2 Ba 3.71

Material: Na2HPt
Method: DFT, GGA-PBE
State: optimized geometry

Output
crystal system	tetragonal
relative energy among the computed polymorphs	63	meV per atom
D(E_F)	0.248	states/eV per atom

a b c (Å): 9.7390 9.7390 7.1064
angles (deg): 46.75 46.75 90.00
Last column: nearest neighbours and their distance in Å.
Fractional coordinates of all 8 atoms:
Na  0.4358  0.1250  0.2500  2 H 2.54, 2 Pt 2.83
Na  0.3142  0.6250  0.2500  2 H 2.54, 2 Pt 2.83
Na  0.3750  0.5642  0.7500  2 H 2.54, 2 Pt 2.83
Na  0.8750  0.6858  0.7500  2 H 2.54, 2 Pt 2.83
Pt  0.0000  0.0000  0.0000  2 H 1.75
Pt  0.7500  0.2500  0.5000  2 H 1.75
H  0.5000  0.5000  0.0000  2 Pt 1.75
H  0.2500  0.7500  0.5000  2 Pt 1.75

Material: Rb4Al2Au5
Method: DFT, GGA-PBE
State: optimized geometry

Output
crystal system	orthorhombic
energy of formation	-0.276	eV/atom
D(E_F)	0.582	states/eV per atom

a b c (Å): 5.5905 8.5483 16.6949
angles (deg): 104.83 99.64 90.00
Last column: nearest neighbours and their distance in Å.
Fractional coordinates of all 22 atoms:
Rb  0.9403  0.2324  0.8806  3 Au 3.43-3.50
Rb  0.0597  0.7676  0.1194  3 Au 3.43-3.50
Rb  0.5597  0.3518  0.1194  3 Au 3.43-3.50
Rb  0.4403  0.6482  0.8806  3 Au 3.43-3.50
Rb  0.6619  0.0051  0.3238  4 Au 3.29-3.68
Rb  0.3381  0.9949  0.6762  4 Au 3.29-3.68
Rb  0.8381  0.6813  0.6762  4 Au 3.29-3.68
Rb  0.1619  0.3187  0.3238  4 Au 3.29-3.68
Al  0.9806  0.7306  0.4613  6 Au 2.60-2.76, 2 Al 2.80
Al  0.5194  0.2694  0.5387  6 Au 2.60-2.76, 2 Al 2.80
Al  0.0194  0.2694  0.5387  6 Au 2.60-2.76, 2 Al 2.80
Al  0.4806  0.7306  0.4613  6 Au 2.60-2.76, 2 Al 2.80
Au  0.2500  0.0000  0.0000  2 Au 2.80
Au  0.7500  0.0000  0.0000  2 Au 2.80
Au  0.6602  0.6188  0.3204  2 Al 2.66, 2 Au 2.88
Au  0.3398  0.3812  0.6796  2 Al 2.66, 2 Au 2.88
Au  0.8398  0.2984  0.6796  2 Al 2.66, 2 Au 2.88
Au  0.1602  0.7016  0.3204  2 Al 2.66, 2 Au 2.88
Au  0.7648  0.9873  0.5297  4 Al 2.60-2.76
Au  0.2352  0.0127  0.4703  4 Al 2.60-2.76
Au  0.2648  0.5424  0.5297  4 Al 2.60-2.76
Au  0.7352  0.4576  0.4703  4 Al 2.60-2.76

Material: Na3SrNp2Te6
Method: DFT, GGA-PBE
State: optimized geometry

Output
crystal system	monoclinic
D(E_F)	1.528	states/eV per atom
E_form (uncorrected)	-0.974	eV per atom

a b c (Å): 7.8912 7.8912 7.9471
angles (deg): 99.61 99.61 120.03
Last column: nearest neighbours and their distance in Å.
Fractional coordinates of all 12 atoms:
Na  0.1611  0.8389  0.5000  6 Te 3.21-3.37
Na  0.8389  0.1611  0.5000  6 Te 3.21-3.37
Na  0.5000  0.5000  0.5000  6 Te 3.17-3.35
Sr  0.0000  0.0000  0.0000  6 Te 3.31
Np  0.3327  0.6673  0.0000  6 Te 3.10-3.12
Np  0.6673  0.3327  0.0000  6 Te 3.10-3.12
Te  0.9205  0.5667  0.7641  2 Np 3.10, 3 Na 3.21-3.37, 1 Sr 3.31
Te  0.7258  0.7258  0.2370  2 Np 3.12, 3 Na 3.17-3.30, 1 Sr 3.31
Te  0.0795  0.4333  0.2359  2 Np 3.10, 3 Na 3.21-3.37, 1 Sr 3.31
Te  0.5667  0.9205  0.7641  2 Np 3.10, 3 Na 3.21-3.37, 1 Sr 3.31
Te  0.2742  0.2742  0.7630  2 Np 3.12, 3 Na 3.17-3.30, 1 Sr 3.31
Te  0.4333  0.0795  0.2359  2 Np 3.10, 3 Na 3.21-3.37, 1 Sr 3.31

Material: Ce2PmHo
Method: DFT, GGA-PBE
State: optimized geometry

Output
crystal system	trigonal
relative energy among the computed polymorphs	133	meV per atom
energy of formation	0.243	eV/atom
D(E_F)	2.672	states/eV per atom

a b c (Å): 3.3743 3.3743 12.5137
angles (deg): 82.25 82.25 60.00
Last column: nearest neighbours and their distance in Å.
Fractional coordinates of all 4 atoms:
Ho  0.0000  0.0000  0.0000  2 Ce 3.14, 6 Ho 3.37
Ce  0.0847  0.0847  0.7458  1 Ho 3.14, 6 Ce 3.37
Ce  0.9153  0.9153  0.2542  1 Ho 3.14, 6 Ce 3.37
Pm  0.5000  0.5000  0.5000  6 Pm 3.37, 6 Ce 3.61

Material: Sr3In2Ga2Pt4
Method: DFT, GGA-PBE
State: optimized geometry

Output
crystal system	trigonal
energy of formation	-0.716	eV/atom
D(E_F)	0.467	states/eV per atom

a b c (Å): 4.4929 4.4929 15.6944
angles (deg): 90.00 90.00 120.00
Last column: nearest neighbours and their distance in Å.
Fractional coordinates of all 11 atoms:
Sr  0.0000  0.0000  0.7293  6 Pt 3.18-3.38, 3 Ga 3.33
Sr  0.0000  0.0000  0.0000  6 Pt 3.33, 6 Ga 3.37
Sr  0.0000  0.0000  0.2707  6 Pt 3.18-3.38, 3 Ga 3.33
In  0.6667  0.3333  0.4347  4 Pt 2.69-2.78
In  0.3333  0.6667  0.5653  4 Pt 2.69-2.78
Ga  0.6667  0.3333  0.8626  3 Pt 2.60
Ga  0.3333  0.6667  0.1374  3 Pt 2.60
Pt  0.6667  0.3333  0.1326  3 Ga 2.60
Pt  0.3333  0.6667  0.8674  3 Ga 2.60
Pt  0.6667  0.3333  0.6116  4 In 2.69-2.78
Pt  0.3333  0.6667  0.3884  4 In 2.69-2.78

Material: PtIN2
Method: DFT, GGA-PBE
State: optimized geometry

Output
crystal system	tetragonal
relative energy among the computed polymorphs	458	meV per atom
D(E_F)	0.920	states/eV per atom
E_form (uncorrected)	1.450	eV per atom

a b c (Å): 5.8414 5.8414 5.9734
angles (deg): 60.73 60.73 90.00
Last column: nearest neighbours and their distance in Å.
Fractional coordinates of all 8 atoms:
I  0.5000  0.5000  0.0000  4 N 2.86
I  0.2500  0.7500  0.5000  4 N 2.86
Pt  0.0000  0.0000  0.0000  4 N 1.95
Pt  0.7500  0.2500  0.5000  4 N 1.95
N  0.7523  0.1250  0.2500  2 Pt 1.95
N  0.9977  0.6250  0.2500  2 Pt 1.95
N  0.3750  0.2477  0.7500  2 Pt 1.95
N  0.8750  0.0023  0.7500  2 Pt 1.95

Material: ErTmPu2N4
Method: DFT, GGA-PBE
State: optimized geometry

Output
crystal system	monoclinic
D(E_F)	1.569	states/eV per atom
E_form (uncorrected)	-1.514	eV per atom

a b c (Å): 3.4566 5.9883 5.9504
angles (deg): 109.59 90.00 90.00
Last column: nearest neighbours and their distance in Å.
Fractional coordinates of all 8 atoms:
Er  0.5000  0.5000  0.0000  6 N 2.45
Tm  0.0000  0.0000  0.0000  6 N 2.44
Pu  0.5000  0.0000  0.5000  6 N 2.43
Pu  0.0000  0.5000  0.5000  6 N 2.44
N  0.5000  0.2493  0.2516  3 Pu 2.43-2.44, 2 Tm 2.44, 1 Er 2.45
N  0.5000  0.7507  0.7484  3 Pu 2.43-2.44, 2 Tm 2.44, 1 Er 2.45
N  0.0000  0.2480  0.7476  3 Pu 2.43-2.44, 1 Tm 2.44, 2 Er 2.45
N  0.0000  0.7520  0.2524  3 Pu 2.43-2.44, 1 Tm 2.44, 2 Er 2.45